No. 1
Below is InCuMo after structural relaxation, with properties calculated at the GGA-PBE level.

Output
M_tot in μB/cell: 0.00
Final energy in eV per atom: -5.549
Formation energy from the elements in eV per formula unit: 1.019
Energy relative to the lowest polymorph listed for this composition in eV per atom: 0.000

The structure in POSCAR format:
```
InCuMo
1.0
-1.4302 1.4302 6.0196
1.4302 -1.4302 6.0196
1.4302 1.4302 -6.0196
In Cu Mo
1 1 1
Cartesian
0.0000 0.0000 0.0000 In
0.0000 0.0000 4.0102 Cu
0.0000 0.0000 8.2279 Mo
```


No. 2
Below is In2CuMo after structural relaxation, with properties calculated at the GGA-PBE level.

Output
M_tot in μB/cell: 0.00
Final energy in eV per atom: -4.814
Formation energy from the elements in eV per formula unit: 1.148
Energy relative to the lowest polymorph listed for this composition in eV per atom: 0.026

The structure in POSCAR format:
```
In2CuMo
1.0
2.9936 0.0000 0.0000
0.0000 4.7899 0.0000
0.0000 0.0000 5.0665
In Cu Mo
2 1 1
Cartesian
0.0000 0.0000 0.0000 In
0.0000 2.3949 2.0424 In
1.4968 0.0000 2.7412 Cu
1.4968 2.3949 4.4942 Mo
```


No. 3
Below is In2CuMo after structural relaxation, with properties calculated at the GGA-PBE level.

Output
M_tot in μB/cell: 0.00
Final energy in eV per atom: -4.721
Formation energy from the elements in eV per formula unit: 1.519
Energy relative to the lowest polymorph listed for this composition in eV per atom: 0.119

The structure in POSCAR format:
```
In2CuMo
1.0
-2.0387 2.0387 4.3189
2.0387 -2.0387 4.3189
2.0387 2.0387 -4.3189
In Cu Mo
2 1 1
Cartesian
2.0387 0.0000 2.1594 In
0.0000 2.0387 2.1594 In
0.0000 0.0000 0.0000 Cu
0.0000 0.0000 4.3189 Mo
```


No. 4
Below is InCuMo after structural relaxation, with properties calculated at the GGA-PBE level.

Output
M_tot in μB/cell: 1.89
Final energy in eV per atom: -5.278
Formation energy from the elements in eV per formula unit: 1.830
Energy relative to the lowest polymorph listed for this composition in eV per atom: 0.271

The structure in POSCAR format:
```
InCuMo
1.0
0.0000 3.0250 3.0250
3.0250 0.0000 3.0250
3.0250 3.0250 0.0000
In Cu Mo
1 1 1
Cartesian
0.0000 0.0000 0.0000 In
4.5375 4.5375 4.5375 Cu
3.0250 3.0250 3.0250 Mo
```


No. 5
Below is InCuMo2 after structural relaxation, with properties calculated at the GGA-PBE level.

Output
M_tot in μB/cell: 0.00
Final energy in eV per atom: -6.848
Formation energy from the elements in eV per formula unit: 1.105
Energy relative to the lowest polymorph listed for this composition in eV per atom: 0.063

The structure in POSCAR format:
```
InCuMo2
1.0
3.8035 0.0000 0.0000
0.0000 3.8035 0.0000
0.0000 0.0000 4.4638
In Cu Mo
1 1 2
Cartesian
0.0000 0.0000 0.0000 In
1.9017 1.9017 0.0000 Cu
0.0000 1.9017 2.2319 Mo
1.9017 0.0000 2.2319 Mo
```


No. 6
Below is In2Cu2Mo after structural relaxation, with properties calculated at the GGA-PBE level.

Output
M_tot in μB/cell: 0.00
Final energy in eV per atom: -4.588
Formation energy from the elements in eV per formula unit: 1.559

The structure in POSCAR format:
```
In2Cu2Mo
1.0
7.4483 0.0000 0.0000
0.0000 7.4483 0.0000
0.0000 0.0000 2.9911
In Cu Mo
4 4 2
Cartesian
1.3440 2.3802 0.0000 In
2.3802 6.1043 0.0000 In
5.0681 1.3440 0.0000 In
6.1043 5.0681 0.0000 In
0.8751 4.5992 1.4955 Cu
2.8490 0.8751 1.4955 Cu
4.5992 6.5732 1.4955 Cu
6.5732 2.8490 1.4955 Cu
0.0000 0.0000 1.4955 Mo
3.7241 3.7241 1.4955 Mo
```


No. 7
Below is InCuMo2 after structural relaxation, with properties calculated at the GGA-PBE level.

Output
M_tot in μB/cell: 0.00
Final energy in eV per atom: -6.740
Formation energy from the elements in eV per formula unit: 1.538
Energy relative to the lowest polymorph listed for this composition in eV per atom: 0.171

The structure in POSCAR format:
```
InCuMo2
1.0
0.0000 3.1961 3.1961
3.1961 0.0000 3.1961
3.1961 3.1961 0.0000
In Cu Mo
1 1 2
Cartesian
0.0000 0.0000 0.0000 In
1.5980 1.5980 1.5980 Cu
3.1961 3.1961 3.1961 Mo
4.7941 4.7941 4.7941 Mo
```


No. 8
Below is In2CuNiMo after structural relaxation, with properties calculated at the GGA-PBE level.

Output
M_tot in μB/cell: 0.00
Final energy in eV per atom: -4.096
Formation energy from the elements in eV per formula unit: 5.703

The structure in POSCAR format:
```
In2CuNiMo
1.0
5.2893 0.0000 0.0000
0.0000 5.2893 0.0000
0.0000 0.0000 4.4560
In Cu Ni Mo
2 1 1 1
Cartesian
0.0000 2.6446 0.0000 In
2.6446 0.0000 0.0000 In
0.0000 0.0000 2.2280 Cu
2.6446 2.6446 2.2280 Ni
2.6446 2.6446 0.0000 Mo
```


No. 9
Below is In2CuMoPb after structural relaxation, with properties calculated at the GGA-PBE level.

Output
M_tot in μB/cell: 0.00
Final energy in eV per atom: -4.059
Formation energy from the elements in eV per formula unit: 3.815

The structure in POSCAR format:
```
In2CuMoPb
1.0
5.2445 0.0000 0.0000
0.0000 5.2445 0.0000
0.0000 0.0000 4.8068
In Cu Mo Pb
2 1 1 1
Cartesian
0.0000 2.6223 0.0000 In
2.6223 0.0000 0.0000 In
0.0000 0.0000 2.4034 Cu
0.0000 0.0000 0.0000 Mo
2.6223 2.6223 2.4034 Pb
```


No. 10
Below is InCu2MoPb after structural relaxation, with properties calculated at the GGA-PBE level.

Output
M_tot in μB/cell: 0.00
Final energy in eV per atom: -4.086
Formation energy from the elements in eV per formula unit: 5.040

The structure in POSCAR format:
```
InCu2MoPb
1.0
4.8114 0.0000 0.0000
0.0000 4.8114 0.0000
0.0000 0.0000 5.2389
In Cu Mo Pb
1 2 1 1
Cartesian
0.0000 0.0000 0.0000 In
0.0000 2.4057 2.6194 Cu
2.4057 0.0000 2.6194 Cu
0.0000 0.0000 2.6194 Mo
2.4057 2.4057 0.0000 Pb
```


No. 11
Below is In2CuMoRh after structural relaxation, with properties calculated at the GGA-PBE level.

Output
M_tot in μB/cell: 1.41
Final energy in eV per atom: -4.222
Formation energy from the elements in eV per formula unit: 6.648

The structure in POSCAR format:
```
In2CuMoRh
1.0
5.2005 0.0000 0.0000
0.0000 5.2005 0.0000
0.0000 0.0000 4.5617
In Cu Mo Rh
2 1 1 1
Cartesian
0.0000 2.6003 0.0000 In
2.6003 0.0000 0.0000 In
0.0000 0.0000 2.2809 Cu
0.0000 0.0000 0.0000 Mo
2.6003 2.6003 2.2809 Rh
```


No. 12
Below is InCu3N3 after structural relaxation, with properties calculated at the GGA-PBE level.

Output
M_tot in μB/cell: 0.00
Final energy in eV per atom: -4.969
ΔE_f (raw) in eV per atom: 0.7456

The structure in POSCAR format:
```
InCu3N3
1.0
4.3345 0.0000 0.0000
0.0000 4.3345 0.0000
0.0000 0.0000 4.3345
In Cu N
1 3 3
Cartesian
0.0000 0.0000 0.0000 In
0.0000 2.1673 2.1673 Cu
2.1673 0.0000 2.1673 Cu
2.1673 2.1673 0.0000 Cu
0.0000 0.0000 2.1673 N
0.0000 2.1673 0.0000 N
2.1673 0.0000 0.0000 N
```


No. 13
Below is InCuN2 after structural relaxation, with properties calculated at the GGA-PBE level.

Output
M_tot in μB/cell: 0.00
Final energy in eV per atom: -5.058
ΔE_f (raw) in eV per atom: 0.8137

The structure in POSCAR format:
```
InCuN2
1.0
1.6801 0.9700 5.8943
-1.6801 0.9700 5.8943
0.0000 -1.9400 5.8943
In Cu N
1 1 2
Cartesian
0.0000 0.0000 0.0000 In
0.0000 0.0000 8.8414 Cu
0.0000 0.0000 7.0655 N
0.0000 0.0000 10.6173 N
```


No. 14
Below is InCuN2 after structural relaxation, with properties calculated at the GGA-PBE level.

Output
M_tot in μB/cell: 0.00
Final energy in eV per atom: -5.207
ΔE_f (raw) in eV per atom: 0.6640

The structure in POSCAR format:
```
InCuN2
1.0
-2.3698 2.3698 4.8029
2.3698 -2.3698 4.8029
2.3698 2.3698 -4.8029
In Cu N
2 2 4
Cartesian
0.0000 0.0000 0.0000 In
0.0000 2.3698 2.4014 In
2.3698 0.0000 2.4014 Cu
0.0000 0.0000 4.8029 Cu
1.1849 -0.9781 3.6022 N
1.3917 1.1849 1.2007 N
1.1849 3.3479 -1.2007 N
0.9781 1.1849 6.0036 N
```


No. 15
Below is InCu2N after structural relaxation, with properties calculated at the GGA-PBE level.

Output
M_tot in μB/cell: 0.00
Final energy in eV per atom: -4.512
ΔE_f (raw) in eV per atom: 0.3025
Energy relative to the lowest polymorph listed for this composition in eV per atom: 0.000

The structure in POSCAR format:
```
InCu2N
1.0
-2.5619 2.5619 5.2570
2.5619 -2.5619 5.2570
2.5619 2.5619 -5.2570
In Cu N
2 4 2
Cartesian
0.0000 0.0000 0.0000 In
0.0000 2.5619 2.6285 In
1.2809 -0.2661 3.9427 Cu
2.2958 1.2809 1.3142 Cu
1.2809 2.8280 -1.3142 Cu
0.2661 1.2809 6.5712 Cu
2.5619 0.0000 2.6285 N
0.0000 0.0000 5.2570 N
```


No. 16
Below is InCu2N after structural relaxation, with properties calculated at the GGA-PBE level.

Output
M_tot in μB/cell: 0.00
Final energy in eV per atom: -3.873
ΔE_f (raw) in eV per atom: 0.9412
Energy relative to the lowest polymorph listed for this composition in eV per atom: 0.639

The structure in POSCAR format:
```
InCu2N
1.0
0.0000 2.9939 2.9939
2.9939 0.0000 2.9939
2.9939 2.9939 0.0000
In Cu N
1 2 1
Cartesian
0.0000 0.0000 0.0000 In
1.4969 1.4969 1.4969 Cu
4.4908 4.4908 4.4908 Cu
2.9939 2.9939 2.9939 N
```


No. 17
Below is InCuN2 after structural relaxation, with properties calculated at the GGA-PBE level.

Output
M_tot in μB/cell: 0.00
Final energy in eV per atom: -4.840
ΔE_f (raw) in eV per atom: 1.0311

The structure in POSCAR format:
```
InCuN2
1.0
1.5442 0.8916 6.1997
-1.5442 0.8916 6.1997
0.0000 -1.7831 6.1997
In Cu N
1 1 2
Cartesian
0.0000 0.0000 0.0000 In
0.0000 0.0000 9.2995 Cu
0.0000 0.0000 2.1753 N
0.0000 0.0000 16.4237 N
```


No. 18
Below is NaIn2CuN after structural relaxation, with properties calculated at the GGA-PBE level.

Output
M_tot in μB/cell: 0.00
Final energy in eV per atom: -3.421
ΔE_f (raw) in eV per atom: 0.4226

The structure in POSCAR format:
```
NaIn2CuN
1.0
4.6333 0.0000 0.0000
0.0000 4.6333 0.0000
0.0000 0.0000 4.5041
Na In Cu N
1 2 1 1
Cartesian
0.0000 0.0000 0.0000 Na
0.0000 2.3167 2.2520 In
2.3167 0.0000 2.2520 In
2.3167 2.3167 0.0000 Cu
0.0000 0.0000 2.2520 N
```


No. 19
Below is InCu2NiN after structural relaxation, with properties calculated at the GGA-PBE level.

Output
M_tot in μB/cell: 0.00
Final energy in eV per atom: -3.451
ΔE_f (raw) in eV per atom: 1.5566

The structure in POSCAR format:
```
InCu2NiN
1.0
4.3163 0.0000 0.0000
0.0000 4.3163 0.0000
0.0000 0.0000 4.7656
In Cu Ni N
1 2 1 1
Cartesian
0.0000 0.0000 0.0000 In
0.0000 2.1582 2.3828 Cu
2.1582 0.0000 2.3828 Cu
0.0000 0.0000 2.3828 Ni
2.1582 2.1582 0.0000 N
```


No. 20
Below is InCuReN2 after structural relaxation, with properties calculated at the GGA-PBE level.

Output
M_tot in μB/cell: 0.00
Final energy in eV per atom: -6.693
ΔE_f (raw) in eV per atom: 0.4933

The structure in POSCAR format:
```
InCuReN2
1.0
3.8620 0.0000 0.0000
0.0000 3.8620 0.0000
0.0000 0.0000 5.2067
In Cu Re N
1 1 1 2
Cartesian
0.0000 0.0000 0.0000 In
1.9310 1.9310 0.0000 Cu
1.9310 1.9310 2.6034 Re
0.0000 1.9310 2.6034 N
1.9310 0.0000 2.6034 N
```


| no. | calculated volume (Å³/atom) |
| --- | --- |
| 1 | 16.42 |
| 2 | 18.16 |
| 3 | 17.95 |
| 4 | 18.45 |
| 5 | 16.14 |
| 6 | 16.59 |
| 7 | 16.32 |
| 8 | 24.93 |
| 9 | 26.44 |
| 10 | 24.26 |
| 11 | 24.67 |
| 12 | 11.63 |
| 13 | 14.41 |
| 14 | 13.49 |
| 15 | 17.25 |
| 16 | 13.42 |
| 17 | 12.80 |
| 18 | 19.34 |
| 19 | 17.76 |
| 20 | 15.53 |